Record 1
## Er4BeSe3 (PBE)

Data for crystalline Er4BeSe3 at its relaxed geometry.

a b c (Å): 8.261 11.419 3.919
angles (deg): 90.00 90.00 90.00
Space group Cmmm (No. 65)
Symmetry-distinct sites (fractional):
Er (0.000, 0.238, 0.000)
Er (0.233, 0.000, 0.500)
Be (0.000, 0.000, 0.000)
Se (0.000, 0.500, 0.000)
Se (0.250, 0.250, 0.500)

Calculated values
Fermi-level density of states ... 2.86 states/eV/f.u.
E_form (uncorrected) ... -998 kJ/mol of formula units
Size of the total moment ... 0.00 μB/cell

Record 2
## K2SnPb (PBE)

Data for crystalline K2SnPb at its relaxed geometry.

a b c (Å): 8.333 8.333 8.333
angles (deg): 90.00 90.00 90.00
Space group Fm-3m (No. 225)
Symmetry-distinct sites (fractional):
K (0.250, 0.250, 0.250)
Sn (0.000, 0.000, 0.000)
Pb (0.000, 0.000, 0.500)

Calculated values
Fermi-level density of states ... 0.33 states/eV/f.u.
Size of the total moment ... 0.00 μB/cell
Formation energy ... 0.04 eV/atom
Excess energy over the best structure of this formula in the dataset ... 0.194 eV/atom

Record 3
## LuTiCuPd (PBE)

Data for crystalline LuTiCuPd at its relaxed geometry.

a b c (Å): 6.572 6.572 6.572
angles (deg): 90.00 90.00 90.00
Space group F-43m (No. 216)
Symmetry-distinct sites (fractional):
Lu (0.000, 0.000, 0.000)
Ti (0.000, 0.000, 0.500)
Cu (0.250, 0.250, 0.250)
Pd (0.250, 0.250, 0.750)

Calculated values
Fermi-level density of states ... 4.77 states/eV/f.u.
Size of the total moment ... 3.01 μB/cell
Formation energy ... -0.36 eV/atom

Record 4
## MgSc2C (PBE)

Data for crystalline MgSc2C at its relaxed geometry.

a b c (Å): 3.2984 3.2984 26.2539
angles (deg): 90.00 90.00 120.00
Space group R-3m (No. 166, hexagonal axes)
Symmetry-distinct sites (fractional):
Mg (0.0000, 0.0000, 0.0000)
Sc (0.0000, 0.0000, 0.1203)
C (0.0000, 0.0000, 0.5000)

Calculated values
Fermi-level density of states ... 4.75 states/eV/f.u.
Size of the total moment ... 0.00 μB/cell
Formation energy ... -0.20 eV/atom

Record 5
## SrTl2O (PBE)

Data for crystalline SrTl2O at its relaxed geometry.

a b c (Å): 9.772 9.772 4.824
angles (deg): 90.00 90.00 90.00
Space group I-42d (No. 122)
Symmetry-distinct sites (fractional):
Sr (0.000, 0.000, 0.000)
Tl (0.145, 0.750, 0.625)
O (0.000, 0.000, 0.500)

Calculated values
Fermi-level density of states ... 1.69 states/eV/f.u.
E_form (uncorrected) ... -285 kJ/mol of formula units
Size of the total moment ... 0.00 μB/cell
Excess energy over the best structure of this formula in the dataset ... 0.000 eV/atom

Record 6
## LaAsW2 (PBE)

Data for crystalline LaAsW2 at its relaxed geometry.

a b c (Å): 3.0814 3.0814 28.3176
angles (deg): 90.00 90.00 120.00
Space group R-3m (No. 166, hexagonal axes)
Symmetry-distinct sites (fractional):
La (0.0000, 0.0000, 0.0000)
As (0.0000, 0.0000, 0.5000)
W (0.0000, 0.0000, 0.2339)

Calculated values
Fermi-level density of states ... 2.65 states/eV/f.u.
Size of the total moment ... 0.00 μB/cell
Formation energy ... 0.69 eV/atom

Record 7
## BaSmInS4 (PBE)

Data for crystalline BaSmInS4 at its relaxed geometry.

a b c (Å): 6.913 6.965 8.555
angles (deg): 90.00 107.16 90.00
Space group P2_1/m (No. 11)
Symmetry-distinct sites (fractional):
Ba (0.245, 0.250, 0.056)
Sm (0.211, 0.250, 0.552)
In (0.249, 0.750, 0.329)
S (0.009, 0.510, 0.719)
S (0.456, 0.750, 0.145)
S (0.484, 0.750, 0.601)

Calculated values
Fermi-level density of states ... 0.00 states/eV/f.u.
E_form (uncorrected) ... -1009 kJ/mol of formula units
Size of the total moment ... 0.00 μB/cell

Record 8
## Ca3Sm2NpN6 (PBE)

Data for crystalline Ca3Sm2NpN6 at its relaxed geometry.

a b c (Å): 6.111 10.592 6.081
angles (deg): 90.00 109.68 90.00
Space group C2/m (No. 12)
Symmetry-distinct sites (fractional):
Ca (0.000, 0.000, 0.000)
Ca (0.000, 0.337, 0.000)
Sm (0.000, 0.167, 0.500)
Np (0.000, 0.500, 0.500)
N (0.225, 0.349, 0.723)
N (0.227, 0.500, 0.285)

Calculated values
Fermi-level density of states ... 0.11 states/eV/f.u.
E_form (uncorrected) ... -1491 kJ/mol of formula units
Size of the total moment ... 2.00 μB/cell

| no. | DFT total energy (eV/atom) |
| --- | --- |
| 1 | -5.35 |
| 2 | -2.43 |
| 3 | -5.79 |
| 4 | -6.08 |
| 5 | -3.58 |
| 6 | -8.18 |
| 7 | -5.19 |
| 8 | -7.82 |